Record 1
A plane-wave DFT calculation with GGA-PBE was carried out for a relaxed CoTcAu2 crystal.

a b c (Å): 4.816 4.816 2.731
angles (deg): 90.00 90.00 90.00
Positions (direct):
Co 0.000 0.000 0.000
Tc 0.500 0.500 0.000
Au 0.000 0.500 0.500
Au 0.500 0.000 0.500

crystal system	tetragonal
symmetry	P4/mmm (123)
energy above the most stable polymorph in this dataset	307	meV/atom

=====

Record 2
A plane-wave DFT calculation with GGA-PBE was carried out for a relaxed Zr2Ru crystal.

a b c (Å): 4.880 14.252 3.299
angles (deg): 90.00 90.00 90.00
Positions (direct):
Zr 0.000 0.000 0.000
Zr 0.000 0.178 0.500
Zr 0.000 0.500 0.500
Zr 0.000 0.822 0.500
Zr 0.500 0.000 0.500
Zr 0.500 0.322 0.500
Zr 0.500 0.500 0.000
Zr 0.500 0.678 0.500
Ru 0.000 0.335 0.000
Ru 0.000 0.665 0.000
Ru 0.500 0.165 0.000
Ru 0.500 0.835 0.000

crystal system	orthorhombic
symmetry	Cmmm (65)
VASP energy	-9.13	eV per atom

=====

Record 3
A plane-wave DFT calculation with GGA-PBE was carried out for a relaxed MgBe3Cl crystal.

a b c (Å): 4.321 4.321 4.321
angles (deg): 90.00 90.00 90.00
Positions (direct):
Mg 0.000 0.000 0.000
Be 0.000 0.500 0.500
Be 0.500 0.000 0.500
Be 0.500 0.500 0.000
Cl 0.500 0.500 0.500

crystal system	cubic
symmetry	Pm-3m (221)
formation energy without anion corrections	108	kJ per mole of atoms
energy above the most stable polymorph in this dataset	0	meV/atom

=====

Record 4
A plane-wave DFT calculation with GGA-PBE was carried out for a relaxed Y4TaTe crystal.

a b c (Å): 6.199 6.199 6.199
angles (deg): 60.00 60.00 60.00
Positions (direct):
Y 0.123 0.123 0.123
Y 0.123 0.123 0.632
Y 0.123 0.632 0.123
Y 0.632 0.123 0.123
Ta 0.750 0.750 0.750
Te 0.500 0.500 0.500

crystal system	cubic
symmetry	F-43m (216)
formation energy without anion corrections	55	kJ per mole of atoms

=====

Record 5
A plane-wave DFT calculation with GGA-PBE was carried out for a relaxed CaAsSe2 crystal.

a b c (Å): 4.937 4.937 3.599
angles (deg): 90.00 90.00 90.00
Positions (direct):
Ca 0.000 0.000 0.000
As 0.500 0.500 0.000
Se 0.000 0.500 0.500
Se 0.500 0.000 0.500

crystal system	tetragonal
symmetry	P4/mmm (123)
formation energy without anion corrections	-65	kJ per mole of atoms

=====

Record 6
A plane-wave DFT calculation with GGA-PBE was carried out for a relaxed Sc2TcRh crystal.

a b c (Å): 7.066 7.066 5.836
angles (deg): 90.00 90.00 90.00
Positions (direct):
Sc 0.239 0.750 0.125
Sc 0.250 0.239 0.875
Sc 0.250 0.261 0.375
Sc 0.261 0.750 0.625
Sc 0.739 0.250 0.625
Sc 0.750 0.739 0.375
Sc 0.750 0.761 0.875
Sc 0.761 0.250 0.125
Tc 0.000 0.000 0.500
Tc 0.000 0.500 0.750
Tc 0.500 0.000 0.250
Tc 0.500 0.500 0.000
Rh 0.000 0.000 0.000
Rh 0.000 0.500 0.250
Rh 0.500 0.000 0.750
Rh 0.500 0.500 0.500

crystal system	tetragonal
symmetry	I-42d (122)
VASP energy	-7.60	eV per atom

=====

Record 7
A plane-wave DFT calculation with GGA-PBE was carried out for a relaxed CuB2PtCl crystal.

a b c (Å): 3.926 3.926 4.265
angles (deg): 90.00 90.00 90.00
Positions (direct):
Cu 0.000 0.000 0.000
B 0.000 0.500 0.500
B 0.500 0.000 0.500
Pt 0.500 0.500 0.000
Cl 0.000 0.000 0.500

crystal system	tetragonal
symmetry	P4/mmm (123)
formation energy without anion corrections	175	kJ per mole of atoms

=====

Record 8
A plane-wave DFT calculation with GGA-PBE was carried out for a relaxed NaBiCl2 crystal.

a b c (Å): 3.783 3.783 26.379
angles (deg): 90.00 90.00 120.00
Positions (direct):
Na 0.000 0.000 0.000
Na 0.333 0.667 0.667
Na 0.667 0.333 0.333
Bi 0.000 0.000 0.500
Bi 0.333 0.667 0.167
Bi 0.667 0.333 0.833
Cl 0.000 0.000 0.397
Cl 0.000 0.000 0.603
Cl 0.333 0.667 0.063
Cl 0.333 0.667 0.270
Cl 0.667 0.333 0.730
Cl 0.667 0.333 0.937

crystal system	trigonal
symmetry	R-3m (166)
formation energy without anion corrections	-108	kJ per mole of atoms
energy above the most stable polymorph in this dataset	0	meV/atom

=====

Quick rundown of DOS(E_F), same order as above: 0.861 1.013 0.812 1.069 0.297 0.979 0.260 0.144 states/eV per atom
Quick rundown of magnetization, same order as above: 2.66 0.00 0.00 0.00 0.00 0.64 0.00 0.00 μB/f.u.